# Pm4Sm2Y5

Pm4Sm2Y5 after structural relaxation (PBE-GGA, the Alexandria database).

## Properties
- Relative energy among the computed polymorphs: 0 meV per atom
- Formation enthalpy at 0 K: 102 meV/atom
- Density of states at the Fermi level: 43.82 states/eV/cell
- E_tot: -119.286 eV/cell

Cell: 19.7127 5.8639 6.4063 Å, 90.00 94.63 90.00°
Space group C2/m (No. 12)
Asymmetric unit:
Pm 0.0351 0.0000 0.2717 x4
Pm 0.1938 0.5000 0.0707 x4
Sm 0.0983 0.5000 0.5406 x4
Y 0.0000 0.5000 0.0000 x2
Y 0.1303 0.0000 0.8543 x4
Y 0.2141 0.0000 0.3922 x4



# Pm3Sm5Y

Pm3Sm5Y after structural relaxation (PBE-GGA, the Alexandria database).

## Properties
- Formation enthalpy at 0 K: 79 meV/atom
- Density of states at the Fermi level: 30.20 states/eV/cell
- E_tot: -87.201 eV/cell

Cell: 6.8196 8.7631 11.1025 Å, 105.58 97.79 101.00°
Space group P-1 (No. 2)
Asymmetric unit:
Pm 0.0000 0.0000 0.0000 x1
Pm 0.1839 0.5523 0.4082 x2
Pm 0.3144 0.4453 0.0898 x2
Pm 0.5000 0.0000 0.5000 x1
Sm 0.0539 0.8817 0.6321 x2
Sm 0.1951 0.6592 0.8676 x2
Sm 0.3059 0.3429 0.6350 x2
Sm 0.4369 0.2361 0.3067 x2
Sm 0.4420 0.1204 0.8651 x2
Y 0.0683 0.7638 0.1949 x2